VASP calculation (PBE-GGA) on a relaxed structure of Li3GaNi.

For the calculated volume, the calculation gives 89.56 Å³ per cell. The energy of formation comes out at 298 meV/atom. The total energy is -13.06 eV/cell.

It has space group Pm-3m (No. 221), with a = 4.474 Å, b = 4.474 Å, c = 4.474 Å, α = 90.00°, β = 90.00° and γ = 90.00°. The distinct sites, in fractional coordinates, are Li at (0.000, 0.000, 0.500), Ga at (0.500, 0.500, 0.500) and Ni at (0.000, 0.000, 0.000).

---

VASP calculation (PBE-GGA) on a relaxed structure of LiGa4Ni15.

For the calculated volume, the calculation gives 227.66 Å³ per cell. The energy of formation comes out at -220 meV/atom. The total energy is -105.14 eV/cell.

It has space group P4/mmm (No. 123), with a = 3.577 Å, b = 3.577 Å, c = 17.792 Å, α = 90.00°, β = 90.00° and γ = 90.00°. The distinct sites, in fractional coordinates, are Li at (0.000, 0.000, 0.000), Ga at (0.000, 0.000, 0.197), Ga at (0.000, 0.000, 0.399), Ni at (0.000, 0.500, 0.097), Ni at (0.000, 0.500, 0.298), Ni at (0.000, 0.500, 0.500), Ni at (0.500, 0.500, 0.000), Ni at (0.500, 0.500, 0.197) and Ni at (0.500, 0.500, 0.399).

---

VASP calculation (PBE-GGA) on a relaxed structure of Li2Ga6Ni.

For the calculated volume, the calculation gives 290.51 Å³ per cell. The energy of formation comes out at -130 meV/atom. The total energy is -57.88 eV/cell.

It has space group C2/m (No. 12), with a = 13.150 Å, b = 7.668 Å, c = 2.881 Å, α = 90.00°, β = 90.20° and γ = 90.00°. The distinct sites, in fractional coordinates, are Li at (0.167, 0.000, 0.000), Ga at (0.000, 0.172, 0.500), Ga at (0.163, 0.337, 0.498) and Ni at (0.000, 0.500, 0.000).

---

VASP calculation (PBE-GGA) on a relaxed structure of Li5Ga5Ni2.

For the calculated volume, the calculation gives 348.61 Å³ per cell. The energy of formation comes out at -332 meV/atom. The total energy is -80.51 eV/cell.

It has space group C2/m (No. 12), with a = 7.450 Å, b = 4.305 Å, c = 11.174 Å, α = 90.00°, β = 103.41° and γ = 90.00°. The distinct sites, in fractional coordinates, are Li at (0.000, 0.000, 0.000), Li at (0.195, 0.000, 0.592), Li at (0.227, 0.500, 0.174), Ga at (0.000, 0.500, 0.500), Ga at (0.101, 0.000, 0.296), Ga at (0.143, 0.500, 0.933) and Ni at (0.067, 0.500, 0.712).

---

VASP calculation (PBE-GGA) on a relaxed structure of Li3Ga2Ni2.

For the calculated volume, the calculation gives 181.04 Å³ per cell. The energy of formation comes out at -326 meV/atom. The total energy is -51.29 eV/cell.

It has space group C2/m (No. 12), with a = 7.132 Å, b = 4.130 Å, c = 6.599 Å, α = 90.00°, β = 111.33° and γ = 90.00°. The distinct sites, in fractional coordinates, are Li at (0.000, 0.000, 0.000), Li at (0.143, 0.000, 0.428), Ga at (0.084, 0.500, 0.751) and Ni at (0.215, 0.500, 0.146).

---

VASP calculation (PBE-GGA) on a relaxed structure of Li3GaNi.

For the calculated volume, the calculation gives 68.97 Å³ per cell. The energy of formation comes out at -215 meV/atom. The total energy is -15.62 eV/cell.

It has space group P1 (No. 1), with a = 4.161 Å, b = 4.186 Å, c = 5.135 Å, α = 66.58°, β = 66.35° and γ = 60.41°. The distinct sites, in fractional coordinates, are Li at (0.000, 0.000, 0.000), Li at (0.192, 0.193, 0.422), Li at (0.603, 0.603, 0.193), Ga at (0.414, 0.412, 0.760) and Ni at (0.785, 0.789, 0.642).

---

VASP calculation (PBE-GGA) on a relaxed structure of LiGaNi2.

For the calculated volume, the calculation gives 100.86 Å³ per cell. The energy of formation comes out at -72 meV/atom. The total energy is -33.59 eV/cell.

It has space group Cm (No. 8), with a = 4.659 Å, b = 2.702 Å, c = 8.155 Å, α = 90.00°, β = 100.77° and γ = 90.00°. The distinct sites, in fractional coordinates, are Li at (0.000, 0.000, 0.000), Ga at (0.165, 0.000, 0.500), Ni at (0.077, 0.500, 0.740) and Ni at (0.252, 0.500, 0.260).

---

VASP calculation (PBE-GGA) on a relaxed structure of LiGa8Ni6.

For the calculated volume, the calculation gives 630.58 Å³ per cell. The energy of formation comes out at -386 meV/atom. The total energy is -199.84 eV/cell.

It has space group R-3 (No. 148, hexagonal axes), with a = 7.0370 Å, b = 7.0370 Å, c = 14.7041 Å, α = 90.00°, β = 90.00° and γ = 120.00°. The distinct sites, in fractional coordinates, are Li at (0.0000, 0.0000, 0.0000), Ga at (0.0000, 0.0000, 0.3328), Ga at (0.0052, 0.3202, 0.1189) and Ni at (0.0008, 0.3382, 0.9520).

---

Number 5 is which compound?
Li3Ga2Ni2